The following is a PBE-GGA calculation of crystalline TbOsNO at its relaxed geometry, from the Open Quantum Materials Database.

Results
magnetic moment = 0.00 μB/cell
total DFT energy (no corrections) = -67.64 eV/cell
space-group type = No. 26

a b c (Å): 3.756 5.488 5.015
angles (deg): 90.00 90.00 90.00
Element x y z (fractional)
Tb  0.000  0.206  0.000
Tb  0.000  0.794  0.500
Os  0.500  0.357  0.500
Os  0.500  0.643  0.000
N  0.000  0.340  0.493
N  0.000  0.660  0.993
O  0.500  0.050  0.761
O  0.500  0.950  0.261